## InHg4 (PBE-GGA)

Data for a relaxed InHg4 crystal.

Uncorrected energy ... -3.59 eV for the cell shown
Calculated density ... 9.5 g/cm3
Space group ... Im-3m, No. 229

abc: 5.928 5.928 5.928
angles: 109.47 109.47 109.47
Sites, in units of the cell vectors:
Hg: 0.500 0.000 0.000
Hg: 0.000 0.500 0.000
Hg: 0.000 0.000 0.500
Hg: 0.500 0.500 0.500
In: 0.000 0.000 0.000


## TmScGa2Fe4 (PBE-GGA)

Data for a relaxed TmScGa2Fe4 crystal.

Uncorrected energy ... -51.49 eV for the cell shown
Calculated density ... 7.3 g/cm3
Space group ... P-6m2, No. 187

abc: 4.172 4.172 8.742
angles: 90.00 90.00 120.00
Sites, in units of the cell vectors:
Fe: 0.667 0.333 0.190
Fe: 0.000 0.000 0.287
Fe: 0.000 0.000 0.713
Fe: 0.667 0.333 0.810
Ga: 0.333 0.667 0.240
Ga: 0.333 0.667 0.760
Sc: 0.000 0.000 0.000
Tm: 0.667 0.333 0.500


## NbTcAu2 (PBE-GGA)

Data for a relaxed NbTcAu2 crystal.

E_form ... 0.219 eV per atom
Calculated density ... 14.3 g/cm3
Space group ... F-43m, No. 216

abc: 4.579 4.579 4.579
angles: 60.00 60.00 60.00
Sites, in units of the cell vectors:
Au: 0.500 0.500 0.500
Au: 0.750 0.750 0.750
Nb: 0.250 0.250 0.250
Tc: 0.000 0.000 0.000


## Re2AsPd (PBE-GGA)

Data for a relaxed Re2AsPd crystal.

Uncorrected energy ... -32.55 eV for the cell shown
Calculated density ... 14.9 g/cm3
Space group ... F-43m, No. 216

abc: 4.432 4.432 4.432
angles: 60.00 60.00 60.00
Sites, in units of the cell vectors:
As: 0.500 0.500 0.500
Pd: 0.250 0.250 0.250
Re: 0.000 0.000 0.000
Re: 0.750 0.750 0.750


## CsNaZrTe3 (PBE-GGA)

Data for a relaxed CsNaZrTe3 crystal.

Uncorrected energy ... -51.39 eV for the cell shown
Calculated density ... 4.7 g/cm3
Space group ... P2_1/m, No. 11

abc: 9.805 4.358 11.178
angles: 90.00 110.33 90.00
Sites, in units of the cell vectors:
Cs: 0.760 0.250 0.230
Cs: 0.240 0.750 0.770
Na: 0.063 0.750 0.108
Na: 0.937 0.250 0.892
Te: 0.261 0.250 0.079
Te: 0.534 0.750 0.368
Te: 0.132 0.750 0.387
Te: 0.868 0.250 0.613
Te: 0.466 0.250 0.632
Te: 0.739 0.750 0.921
Zr: 0.320 0.250 0.349
Zr: 0.680 0.750 0.651


## Na2GePd3 (PBE-GGA)

Data for a relaxed Na2GePd3 crystal.

Uncorrected energy ... -25.23 eV for the cell shown
Calculated density ... 6.7 g/cm3
Space group ... R-3m, No. 166

abc: 5.114 5.114 5.114
angles: 66.72 66.72 66.72
Sites, in units of the cell vectors:
Ge: 0.000 0.000 0.000
Na: 0.378 0.378 0.378
Na: 0.622 0.622 0.622
Pd: 0.500 0.000 0.000
Pd: 0.000 0.500 0.000
Pd: 0.000 0.000 0.500


## BeGaCoCu (PBE-GGA)

Data for a relaxed BeGaCoCu crystal.

Polymorph energy (0 for the lowest one) ... 102.6 meV per atom
Calculated density ... 7.5 g/cm3
Space group ... F-43m, No. 216

abc: 3.978 3.978 3.978
angles: 60.00 60.00 60.00
Sites, in units of the cell vectors:
Be: 0.250 0.250 0.250
Co: 0.750 0.750 0.750
Cu: 0.500 0.500 0.500
Ga: 0.000 0.000 0.000


## RbNd2CuTe3Se (PBE-GGA)

Data for a relaxed RbNd2CuTe3Se crystal.

Uncorrected energy ... -74.19 eV for the cell shown
Calculated density ... 5.7 g/cm3
Space group ... Cmcm, No. 63

abc: 8.023 8.023 15.362
angles: 90.00 90.00 148.00
Sites, in units of the cell vectors:
Cu: 0.341 0.659 0.250
Cu: 0.659 0.341 0.750
Nd: 0.864 0.136 0.071
Nd: 0.864 0.136 0.429
Nd: 0.136 0.864 0.571
Nd: 0.136 0.864 0.929
Rb: 0.593 0.407 0.250
Rb: 0.407 0.593 0.750
Se: 0.924 0.076 0.250
Se: 0.076 0.924 0.750
Te: 0.500 0.500 0.000
Te: 0.229 0.771 0.118
Te: 0.229 0.771 0.382
Te: 0.500 0.500 0.500
Te: 0.771 0.229 0.618
Te: 0.771 0.229 0.882


## HoScCS (PBE-GGA)

Data for a relaxed HoScCS crystal.

Polymorph energy (0 for the lowest one) ... 0.8 meV per atom
Calculated density ... 6.2 g/cm3
Space group ... P-6m2, No. 187

abc: 3.571 3.571 12.402
angles: 90.00 90.00 120.00
Sites, in units of the cell vectors:
C: 0.000 0.000 0.238
C: 0.000 0.000 0.762
Ho: 0.333 0.667 0.347
Ho: 0.333 0.667 0.653
S: 0.333 0.667 0.000
S: 0.667 0.333 0.500
Sc: 0.667 0.333 0.140
Sc: 0.667 0.333 0.860


## CoCuGe (PBE-GGA)

Data for a relaxed CoCuGe crystal.

Uncorrected energy ... -15.17 eV for the cell shown
Calculated density ... 7.6 g/cm3
Space group ... F-43m, No. 216

abc: 3.916 3.916 3.916
angles: 60.00 60.00 60.00
Sites, in units of the cell vectors:
Co: 0.000 0.000 0.000
Cu: 0.250 0.250 0.250
Ge: 0.750 0.750 0.750